12
Lattice="3.876 0.000 0.000 0.000 5.643 0.000 0.000 0.000 14.665" Properties=species:S:1:pos:R:3 comment="PBE CdSeCl, optimized geometry" crystal_system=orthorhombic magnetic_moment_mub_per_atom=0.000 e_form_raw_mev_per_atom=-330.7 de_polymorph_ev_per_fu=1.10 spacegroup="Fmm2, No. 42" pbc="T T T"
Cd 0.000 0.000 0.000
Cd 0.000 2.822 7.332
Cd 1.938 0.000 7.332
Cd 1.938 2.822 0.000
Se 0.000 0.000 5.367
Se 0.000 2.822 12.700
Se 1.938 0.000 12.700
Se 1.938 2.822 5.367
Cl 0.000 0.000 9.043
Cl 0.000 2.822 1.711
Cl 1.938 0.000 1.711
Cl 1.938 2.822 9.043

8
Lattice="4.907 0.000 0.000 0.000 4.907 0.000 0.000 0.000 6.977" Properties=species:S:1:pos:R:3 comment="PBE Er2AgRu, optimized geometry" crystal_system=tetragonal magnetic_moment_mub_per_atom=0.000 formation_energy_ev_per_atom=-0.393 spacegroup="I4/mmm, No. 139" pbc="T T T"
Er 0.000 2.454 1.744
Er 0.000 2.454 5.233
Er 2.454 0.000 1.744
Er 2.454 0.000 5.233
Ag 0.000 0.000 0.000
Ag 2.454 2.454 3.489
Ru 0.000 0.000 3.489
Ru 2.454 2.454 0.000